Record 1
Density functional theory data (GGA-PBE) for Dy2Tm5Te4 after structural relaxation.

```
Dy2Tm5Te4
1.0
12.6769 -2.0038 0.0000
12.6769 2.0038 0.0000
-0.1874 0.0000 7.1647
Dy Tm Te
2 5 4
Direct
0.2346 0.2346 0.3015
0.7654 0.7654 0.6985
0.0000 0.0000 0.5000
0.3420 0.3420 0.0056
0.3608 0.3608 0.4937
0.6392 0.6392 0.5063
0.6580 0.6580 0.9944
0.0951 0.0951 0.2277
0.4508 0.4508 0.2352
0.5492 0.5492 0.7648
0.9049 0.9049 0.7723
```

Computed properties:
magnetization: 0.845 μB/f.u.
E_form (uncorrected): -59.6 kJ/mol of atoms
mass density: 7.7 g cm⁻³

Record 2
Density functional theory data (GGA-PBE) for Dy4TmTe5 after structural relaxation.

```
Dy4TmTe5
1.0
-4.8662 4.8662 3.0610
4.8662 -4.8662 3.0610
4.8662 4.8662 -3.0610
Dy Tm Te
4 1 5
Direct
0.0919 0.6832 0.7751
0.3168 0.0919 0.4088
0.6832 0.9081 0.5912
0.9081 0.3168 0.2249
0.4985 0.4985 0.0000
0.2103 0.3911 0.6015
0.3911 0.7896 0.1807
0.6088 0.2103 0.8193
0.7896 0.6088 0.3985
0.9987 0.9987 0.0000
```

Computed properties:
magnetization: 0.000 μB/f.u.
E_form (uncorrected): -121.3 kJ/mol of atoms
mass density: 8.3 g cm⁻³

Record 3
Density functional theory data (GGA-PBE) for Dy3TmTe2 after structural relaxation.

```
Dy3TmTe2
1.0
8.8840 -1.9506 0.0000
8.8840 1.9506 0.0000
-0.0462 0.0000 10.2219
Dy Tm Te
6 2 4
Direct
0.0162 0.0162 0.3485
0.3567 0.3567 0.4598
0.3925 0.3925 0.8802
0.6075 0.6075 0.1198
0.6433 0.6433 0.5402
0.9838 0.9838 0.6515
0.2004 0.2004 0.8641
0.7996 0.7996 0.1359
0.2007 0.2007 0.3109
0.4318 0.4318 0.1688
0.5682 0.5682 0.8312
0.7993 0.7993 0.6891
```

Computed properties:
magnetization: 0.001 μB/f.u.
E_form (uncorrected): -72.5 kJ/mol of atoms
mass density: 8.5 g cm⁻³

Please write out number 3 again, unchanged.
Density functional theory data (GGA-PBE) for Dy3TmTe2 after structural relaxation.

```
Dy3TmTe2
1.0
8.8840 -1.9506 0.0000
8.8840 1.9506 0.0000
-0.0462 0.0000 10.2219
Dy Tm Te
6 2 4
Direct
0.0162 0.0162 0.3485
0.3567 0.3567 0.4598
0.3925 0.3925 0.8802
0.6075 0.6075 0.1198
0.6433 0.6433 0.5402
0.9838 0.9838 0.6515
0.2004 0.2004 0.8641
0.7996 0.7996 0.1359
0.2007 0.2007 0.3109
0.4318 0.4318 0.1688
0.5682 0.5682 0.8312
0.7993 0.7993 0.6891
```

Computed properties:
magnetization: 0.001 μB/f.u.
E_form (uncorrected): -72.5 kJ/mol of atoms
mass density: 8.5 g cm⁻³